#A
Material: CdCo3As
Method: DFT, PBE
State: relaxed

Cell: 4.3388 4.3388 4.3388 Å, 90.00 90.00 90.00°
Last column: nearest neighbours and their distance in Å.
Atoms (fractional coordinates):
Cd 0.0000 0.0000 0.0000  12 Co 3.07
Co 0.0000 0.5000 0.5000  2 As 2.17
Co 0.5000 0.0000 0.5000  2 As 2.17
Co 0.5000 0.5000 0.0000  2 As 2.17
As 0.5000 0.5000 0.5000  6 Co 2.17

Output
Fermi-level density of states = 7.33 states/eV/cell
volume = 16.34 A^3/atom
space-group type = Pm-3m



#B
Material: CdCo3As
Method: DFT, PBE
State: relaxed

Cell: 4.6616 4.6616 4.6616 Å, 90.00 90.00 90.00°
Last column: nearest neighbours and their distance in Å.
Atoms (fractional coordinates):
Cd 0.0000 0.0000 0.0000  6 Co 2.33
Co 0.0000 0.0000 0.5000  2 Cd 2.33
Co 0.0000 0.5000 0.0000  2 Cd 2.33
Co 0.5000 0.0000 0.0000  2 Cd 2.33
As 0.5000 0.5000 0.5000  12 Co 3.30

Output
Fermi-level density of states = 10.71 states/eV/cell
volume = 20.26 A^3/atom
space-group type = Pm-3m



#A ends up most stable, edging out the next structure by 1181 meV/atom.